Density functional theory data (PBE) for a relaxed TiCrCd2 crystal.

The structure in CIF format:
```
data_TiCrCd2
_symmetry_space_group_name_H-M 'I -4 2 d'
_symmetry_Int_Tables_number 122
_symmetry_space_group_name_Hall 'I -4 2bw'
_cell_length_a 7.557
_cell_length_b 7.557
_cell_length_c 5.295
_cell_angle_alpha 90.00
_cell_angle_beta 90.00
_cell_angle_gamma 90.00
loop_
_atom_site_label
_atom_site_type_symbol
_atom_site_fract_x
_atom_site_fract_y
_atom_site_fract_z
Ti1 Ti 0.000 0.000 0.000
Cr1 Cr 0.000 0.000 0.500
Cd1 Cd 0.229 0.750 0.625
```

Summary:
Its magnetization is 0.00 μB/f.u. As for the energy relative to the lowest polymorph listed for this composition: 2.05 eV/f.u.

Density functional theory data (PBE) for a relaxed VZnSi3 crystal.

The structure in CIF format:
```
data_VZnSi3
_symmetry_space_group_name_H-M 'P m -3 m'
_symmetry_Int_Tables_number 221
_symmetry_space_group_name_Hall '-P 4 2 3'
_cell_length_a 4.625
_cell_length_b 4.625
_cell_length_c 4.625
_cell_angle_alpha 90.00
_cell_angle_beta 90.00
_cell_angle_gamma 90.00
loop_
_atom_site_label
_atom_site_type_symbol
_atom_site_fract_x
_atom_site_fract_y
_atom_site_fract_z
V1 V 0.000 0.000 0.000
Zn1 Zn 0.500 0.500 0.500
Si1 Si 0.000 0.000 0.500
```

Summary:
Its magnetization is 0.57 μB/f.u. The value obtained for the energy relative to the elements, uncorrected is 0.526 eV per atom. As for the energy relative to the lowest polymorph listed for this composition: 0.00 eV/f.u.

Density functional theory data (PBE) for a relaxed Ce2PuMn crystal.

The structure in CIF format:
```
data_Ce2PuMn
_symmetry_space_group_name_H-M 'R 3 m'
_symmetry_Int_Tables_number 160
_symmetry_space_group_name_Hall 'R 3 -2"'
_cell_length_a 4.2208
_cell_length_b 4.2208
_cell_length_c 17.2408
_cell_angle_alpha 90.00
_cell_angle_beta 90.00
_cell_angle_gamma 120.00
loop_
_atom_site_label
_atom_site_type_symbol
_atom_site_fract_x
_atom_site_fract_y
_atom_site_fract_z
Ce1 Ce 0.0000 0.0000 0.0000
Ce2 Ce 0.0000 0.0000 0.2086
Pu1 Pu 0.0000 0.0000 0.4623
Mn1 Mn 0.0000 0.0000 0.6662
```

Summary:
Its magnetization is 6.26 μB/f.u. As for the energy relative to the lowest polymorph listed for this composition: 0.30 eV/f.u.

Density functional theory data (PBE) for a relaxed La6Sn2Pd crystal.

The structure in CIF format:
```
data_La6Sn2Pd
_symmetry_space_group_name_H-M 'P -6 2 m'
_symmetry_Int_Tables_number 189
_symmetry_space_group_name_Hall 'P -6 -2'
_cell_length_a 8.6723
_cell_length_b 8.6723
_cell_length_c 4.3936
_cell_angle_alpha 90.00
_cell_angle_beta 90.00
_cell_angle_gamma 120.00
loop_
_atom_site_label
_atom_site_type_symbol
_atom_site_fract_x
_atom_site_fract_y
_atom_site_fract_z
La1 La 0.0000 0.4157 0.0000
La2 La 0.0000 0.7555 0.5000
Sn1 Sn 0.3333 0.6667 0.5000
Pd1 Pd 0.0000 0.0000 0.0000
```

Summary:
Its magnetization is 0.00 μB/f.u. The calculation puts the final energy at -5.344 eV per atom.

Density functional theory data (PBE) for a relaxed AcNdGe2Au2 crystal.

The structure in CIF format:
```
data_AcNdGe2Au2
_symmetry_space_group_name_H-M 'P -3 m 1'
_symmetry_Int_Tables_number 164
_symmetry_space_group_name_Hall '-P 3 2"'
_cell_length_a 4.5404
_cell_length_b 4.5404
_cell_length_c 8.2750
_cell_angle_alpha 90.00
_cell_angle_beta 90.00
_cell_angle_gamma 120.00
loop_
_atom_site_label
_atom_site_type_symbol
_atom_site_fract_x
_atom_site_fract_y
_atom_site_fract_z
Ac1 Ac 0.0000 0.0000 0.0000
Nd1 Nd 0.0000 0.0000 0.5000
Ge1 Ge 0.3333 0.6667 0.7408
Au1 Au 0.3333 0.6667 0.2721
```

Summary:
Its magnetization is 0.00 μB/f.u. The calculation puts the final energy at -4.940 eV per atom.

Density functional theory data (PBE) for a relaxed La8Nd2Al crystal.

The structure in CIF format:
```
data_La8Nd2Al
_symmetry_space_group_name_H-M 'C 1 2/m 1'
_symmetry_Int_Tables_number 12
_cell_length_a 18.403
_cell_length_b 6.834
_cell_length_c 6.165
_cell_angle_alpha 90.00
_cell_angle_beta 102.31
_cell_angle_gamma 90.00
loop_
_symmetry_equiv_pos_as_xyz
'x,y,z'
'-x,-y,-z'
'-x,y,-z'
'x,-y,z'
'x+1/2,y+1/2,z'
'-x+1/2,-y+1/2,-z'
'-x+1/2,y+1/2,-z'
'x+1/2,-y+1/2,z'
loop_
_atom_site_label
_atom_site_type_symbol
_atom_site_fract_x
_atom_site_fract_y
_atom_site_fract_z
La1 La 0.036 0.000 0.278
La2 La 0.087 0.500 0.501
La3 La 0.150 0.247 0.978
Nd1 Nd 0.224 0.000 0.527
Al1 Al 0.000 0.500 0.000
```

Summary:
Its magnetization is 0.00 μB/f.u. As for the energy relative to the lowest polymorph listed for this composition: 0.68 eV/f.u.

Density functional theory data (PBE) for a relaxed CePrSn crystal.

The structure in CIF format:
```
data_CePrSn
_symmetry_space_group_name_H-M 'P 3 m 1'
_symmetry_Int_Tables_number 156
_cell_length_a 5.2518
_cell_length_b 5.2518
_cell_length_c 3.7679
_cell_angle_alpha 90.00
_cell_angle_beta 90.00
_cell_angle_gamma 120.00
loop_
_symmetry_equiv_pos_as_xyz
'x,y,z'
'-y,x-y,z'
'-x+y,-x,z'
'-y,-x,z'
'-x+y,y,z'
'x,x-y,z'
loop_
_atom_site_label
_atom_site_type_symbol
_atom_site_fract_x
_atom_site_fract_y
_atom_site_fract_z
Ce1 Ce 0.0000 0.0000 0.0000
Pr1 Pr 0.6667 0.3333 0.3898
Sn1 Sn 0.3333 0.6667 0.6861
```

Summary:
Its magnetization is 1.24 μB/f.u. As for the energy relative to the lowest polymorph listed for this composition: 0.80 eV/f.u.

Density functional theory data (PBE) for a relaxed SbRuI2O crystal.

The structure in CIF format:
```
data_SbRuI2O
_symmetry_space_group_name_H-M 'P 4/m m m'
_symmetry_Int_Tables_number 123
_symmetry_space_group_name_Hall '-P 4 2'
_cell_length_a 6.060
_cell_length_b 6.060
_cell_length_c 4.047
_cell_angle_alpha 90.00
_cell_angle_beta 90.00
_cell_angle_gamma 90.00
loop_
_atom_site_label
_atom_site_type_symbol
_atom_site_fract_x
_atom_site_fract_y
_atom_site_fract_z
Sb1 Sb 0.000 0.000 0.000
Ru1 Ru 0.500 0.500 0.500
I1 I 0.000 0.500 0.000
O1 O 0.000 0.000 0.500
```

Summary:
Its magnetization is 2.99 μB/f.u. The value obtained for the energy relative to the elements, uncorrected is 0.553 eV per atom. As for the energy relative to the lowest polymorph listed for this composition: 2.66 eV/f.u.

Repeat the fifth record exactly.
Density functional theory data (PBE) for a relaxed AcNdGe2Au2 crystal.

The structure in CIF format:
```
data_AcNdGe2Au2
_symmetry_space_group_name_H-M 'P -3 m 1'
_symmetry_Int_Tables_number 164
_symmetry_space_group_name_Hall '-P 3 2"'
_cell_length_a 4.5404
_cell_length_b 4.5404
_cell_length_c 8.2750
_cell_angle_alpha 90.00
_cell_angle_beta 90.00
_cell_angle_gamma 120.00
loop_
_atom_site_label
_atom_site_type_symbol
_atom_site_fract_x
_atom_site_fract_y
_atom_site_fract_z
Ac1 Ac 0.0000 0.0000 0.0000
Nd1 Nd 0.0000 0.0000 0.5000
Ge1 Ge 0.3333 0.6667 0.7408
Au1 Au 0.3333 0.6667 0.2721
```

Summary:
Its magnetization is 0.00 μB/f.u. The calculation puts the final energy at -4.940 eV per atom.